This record from Alexandria via LeMat-Bulk describes ScInOs2 at its PBEsol-relaxed geometry. The functional is SCAN.

Output
energy relative to the elements = 254.3 meV per atom

abc: 8.8986 8.8986 8.8986
angles: 19.13 19.13 19.13
Atoms (fractional coordinates):
Sc 0.0000 0.0000 0.0000
In 0.5000 0.5000 0.5000
Os 0.2522 0.2522 0.2522
Os 0.7478 0.7478 0.7478

This record from Alexandria via LeMat-Bulk describes Ca6Al3Si8N18 at its PBEsol-relaxed geometry. The functional is SCAN.

Output
uncorrected formation energy = -1.425 eV/atom

abc: 7.5215 7.5490 7.5931
angles: 79.38 81.30 80.18
Atoms (fractional coordinates):
Ca 0.0000 0.0000 0.0000
Ca 0.0023 0.1182 0.3824
Ca 0.3744 0.3711 0.7654
Ca 0.3951 0.3396 0.3506
Ca 0.6680 0.6575 0.6776
Ca 0.7174 0.6801 0.1043
Al 0.0469 0.7146 0.7150
Al 0.3247 0.9806 0.6695
Al 0.3938 0.0290 0.0524
Si 0.0489 0.3934 0.0523
Si 0.3126 0.6508 0.0161
Si 0.3534 0.7384 0.3931
Si 0.6550 0.9763 0.3414
Si 0.6660 0.2959 0.0142
Si 0.7103 0.0490 0.7246
Si 0.9766 0.3295 0.6810
Si 0.9990 0.6282 0.3445
N 0.1550 0.5708 0.9144
N 0.1916 0.2116 0.6384
N 0.1943 0.1960 0.1037
N 0.2078 0.8461 0.5520
N 0.2287 0.6577 0.2489
N 0.3290 0.8718 0.9135
N 0.4760 0.5556 0.5102
N 0.4883 0.8884 0.2560
N 0.5202 0.5050 0.9958
N 0.5733 0.9914 0.5728
N 0.5810 0.1440 0.9061
N 0.6810 0.1890 0.2293
N 0.8216 0.2242 0.6163
N 0.8402 0.8503 0.8136
N 0.8639 0.8403 0.3016
N 0.8897 0.3453 0.9160
N 0.9391 0.4686 0.2423
N 0.9815 0.5560 0.5786

This record from Alexandria via LeMat-Bulk describes NaSc2Ag at its PBEsol-relaxed geometry. The functional is SCAN.

Output
energy relative to the elements = 210.8 meV per atom

abc: 11.1714 11.1714 11.1714
angles: 16.19 16.19 16.19
Atoms (fractional coordinates):
Na 0.0000 0.0000 0.0000
Sc 0.0975 0.0975 0.0975
Sc 0.9025 0.9025 0.9025
Ag 0.5000 0.5000 0.5000

Record order is preserved below.
DFT total energy: -190.4; -378.5; -63.2 eV per cell
Record order is preserved below.
Size of the total moment: 0.0; 1.0; 0.1 μB per formula unit